*a*
LaPm2Ag2 | GGA-PBE | relaxed

Cell lengths 3.7489, 5.4589, 14.0386 Å; angles 90.00, 97.64, 90.00 degrees
Last column: nearest neighbours and their distance in Å.
Space group P2_1/m (No. 11)
Inequivalent atoms, fractional coordinates:
La  0.1444  0.2500  0.2900  6 Ag 3.31-3.35, 2 Pm 3.68
Pm  0.0473  0.7500  0.0949  8 Ag 3.19-3.31
Pm  0.2342  0.7500  0.4672  2 Ag 3.18, 4 Pm 3.43-3.44
Ag  0.3587  0.2500  0.7175  4 Pm 3.18-3.21, 4 La 3.31
Ag  0.4550  0.7500  0.9098  6 Pm 3.19-3.31, 2 La 3.35



*b*
LaPm2Ag2 | GGA-PBE | relaxed

Cell lengths 5.3407, 5.0146, 11.5009 Å; angles 90.00, 95.94, 90.00 degrees
Last column: nearest neighbours and their distance in Å.
Space group P2_1/m (No. 11)
Inequivalent atoms, fractional coordinates:
La  0.1992  0.2500  0.2458  1 Ag 3.22
Pm  0.2499  0.7500  0.4909  4 Ag 3.00-3.03
Pm  0.3420  0.2500  0.8861  5 Ag 2.88-3.10
Ag  0.1375  0.7500  0.0030  2 Ag 2.90, 4 Pm 2.94-3.10, 1 La 3.22
Ag  0.2775  0.2500  0.6344  5 Pm 2.88-3.03



The structure with the greatest stability is *a*.



*a*
LaPmPrAg | GGA-PBE | relaxed

Cell lengths 7.8967, 7.8967, 7.8967 Å; angles 90.00, 90.00, 90.00 degrees
Last column: nearest neighbours and their distance in Å.
Space group F-43m (No. 216)
Inequivalent atoms, fractional coordinates:
La  0.0000  0.0000  0.0000  4 Pm 3.42, 4 Ag 3.42
Pm  0.2500  0.2500  0.7500  4 La 3.42, 4 Pr 3.42
Pr  0.0000  0.0000  0.5000  4 Pm 3.42, 4 Ag 3.42
Ag  0.2500  0.2500  0.2500  4 La 3.42, 4 Pr 3.42



*b*
LaPmPrAg | GGA-PBE | relaxed

Cell lengths 3.7636, 3.7636, 8.8939 Å; angles 90.00, 90.00, 90.00 degrees
Last column: nearest neighbours and their distance in Å.
Space group P4mm (No. 99)
Inequivalent atoms, fractional coordinates:
La  0.0000  0.0000  0.0000  4 Ag 3.33, 4 Pr 3.72
Pm  0.0000  0.0000  0.5746  4 Ag 3.21
Pr  0.5000  0.5000  0.2925  4 Pm 3.66, 4 La 3.72, 4 Pr 3.76
Ag  0.5000  0.5000  0.7758  4 Pm 3.21, 4 La 3.33



The structure with the greatest stability is *b*.



*a*
LaPmAgPt | GGA-PBE | relaxed

Cell lengths 4.7937, 3.9636, 10.9926 Å; angles 90.00, 90.00, 90.00 degrees
Last column: nearest neighbours and their distance in Å.
Space group Amm2 (No. 38)
Inequivalent atoms, fractional coordinates:
La  0.0000  0.0000  0.0000  3 Pt 3.02-3.17, 4 Ag 3.17
Pm  0.5000  0.0000  0.2752  3 Ag 3.10-3.11, 4 Pt 3.16
Ag  0.5000  0.0000  0.5581  2 Pt 3.02, 3 Pm 3.10-3.11, 4 La 3.17
Pt  0.0000  0.0000  0.7253  3 La 3.02-3.17, 2 Ag 3.02, 4 Pm 3.16



*b*
LaPmAgPt | GGA-PBE | relaxed

Cell lengths 7.3818, 7.3818, 7.3818 Å; angles 90.00, 90.00, 90.00 degrees
Last column: nearest neighbours and their distance in Å.
Space group F-43m (No. 216)
Inequivalent atoms, fractional coordinates:
La  0.0000  0.0000  0.0000  4 Pt 3.20, 4 Ag 3.20
Pm  0.0000  0.0000  0.5000  4 Pt 3.20, 4 Ag 3.20
Ag  0.2500  0.2500  0.7500  4 La 3.20, 4 Pm 3.20
Pt  0.2500  0.2500  0.2500  4 La 3.20, 4 Pm 3.20



The structure with the greatest stability is *a*.



*a*
LaPmSmAg | GGA-PBE | relaxed

Cell lengths 3.7419, 3.7419, 8.7120 Å; angles 90.00, 90.00, 90.00 degrees
Last column: nearest neighbours and their distance in Å.
Space group P4mm (No. 99)
Inequivalent atoms, fractional coordinates:
La  0.0000  0.0000  0.0000  4 Sm 3.66, 4 Pm 3.67, 4 La 3.74
Pm  0.5000  0.5000  0.2912  4 Ag 3.23
Sm  0.5000  0.5000  0.7104  4 Ag 3.20
Ag  0.0000  0.0000  0.5033  4 Sm 3.20, 4 Pm 3.23



*b*
LaPmSmAg | GGA-PBE | relaxed

Cell lengths 7.8438, 7.8438, 7.8438 Å; angles 90.00, 90.00, 90.00 degrees
Last column: nearest neighbours and their distance in Å.
Space group F-43m (No. 216)
Inequivalent atoms, fractional coordinates:
La  0.0000  0.0000  0.0000  4 Ag 3.40, 4 Pm 3.40
Pm  0.2500  0.2500  0.7500  4 La 3.40, 4 Sm 3.40
Sm  0.0000  0.0000  0.5000  4 Pm 3.40, 4 Ag 3.40
Ag  0.2500  0.2500  0.2500  4 La 3.40, 4 Sm 3.40



The structure with the greatest stability is *a*.



*a*
LaPmYAg | GGA-PBE | relaxed

Cell lengths 7.7672, 7.7672, 7.7672 Å; angles 90.00, 90.00, 90.00 degrees
Last column: nearest neighbours and their distance in Å.
Space group F-43m (No. 216)
Inequivalent atoms, fractional coordinates:
La  0.0000  0.0000  0.0000  4 Ag 3.36, 4 Pm 3.36
Pm  0.2500  0.2500  0.2500  4 La 3.36, 4 Y 3.36
Y  0.0000  0.0000  0.5000  4 Pm 3.36, 4 Ag 3.36
Ag  0.2500  0.2500  0.7500  4 Y 3.36, 4 La 3.36



*b*
LaPmYAg | GGA-PBE | relaxed

Cell lengths 3.7051, 3.7051, 8.7718 Å; angles 90.00, 90.00, 90.00 degrees
Last column: nearest neighbours and their distance in Å.
Space group P4mm (No. 99)
Inequivalent atoms, fractional coordinates:
La  0.0000  0.0000  0.0000  4 Y 3.67, 4 Pm 3.67, 4 La 3.71
Pm  0.5000  0.5000  0.7063  4 Ag 3.24, 1 Y 3.62
Y  0.5000  0.5000  0.2931  4 Ag 3.13
Ag  0.0000  0.0000  0.4889  4 Y 3.13, 4 Pm 3.24



The structure with the greatest stability is *b*.



*a*
LaPmZnAg | GGA-PBE | relaxed

Cell lengths 7.5087, 7.5087, 7.5087 Å; angles 90.00, 90.00, 90.00 degrees
Last column: nearest neighbours and their distance in Å.
Space group F-43m (No. 216)
Inequivalent atoms, fractional coordinates:
La  0.0000  0.0000  0.0000  4 Ag 3.25, 4 Zn 3.25
Pm  0.0000  0.0000  0.5000  4 Zn 3.25, 4 Ag 3.25
Zn  0.2500  0.2500  0.7500  4 La 3.25, 4 Pm 3.25
Ag  0.2500  0.2500  0.2500  4 La 3.25, 4 Pm 3.25



*b*
LaPmZnAg | GGA-PBE | relaxed

Cell lengths 3.7718, 3.7718, 7.3699 Å; angles 90.00, 90.00, 90.00 degrees
Last column: nearest neighbours and their distance in Å.
Space group P4mm (No. 99)
Inequivalent atoms, fractional coordinates:
La  0.0000  0.0000  0.0000  4 Zn 3.26, 4 Ag 3.34, 1 Pm 3.56
Pm  0.0000  0.0000  0.5165  4 Zn 3.16, 4 Ag 3.22
Zn  0.5000  0.5000  0.7464  4 Pm 3.16, 4 La 3.26, 1 Ag 3.49
Ag  0.5000  0.5000  0.2728  4 Pm 3.22, 4 La 3.34, 1 Zn 3.49



The structure with the greatest stability is *b*.



*a*
La6PrAg2 | GGA-PBE | relaxed

Cell lengths 13.0942, 3.8321, 12.3545 Å; angles 90.00, 107.79, 90.00 degrees
Last column: nearest neighbours and their distance in Å.
Space group C2/m (No. 12)
Inequivalent atoms, fractional coordinates:
La  0.0269  0.0000  0.3325  2 Ag 3.26, 1 La 3.56
La  0.1830  0.5000  0.8767  2 Ag 3.26, 3 La 3.55-3.57
La  0.1876  0.5000  0.5907  2 Ag 3.44, 10 La 3.55-3.83
Pr  0.0000  0.0000  0.0000  4 Ag 3.22
Ag  0.1469  0.5000  0.1956  2 Pr 3.22, 6 La 3.26-3.44



*b*
La6PrAg2 | GGA-PBE | relaxed

Cell lengths 15.7468, 11.6676, 6.3526 Å; angles 90.00, 94.58, 90.00 degrees
Last column: nearest neighbours and their distance in Å.
Space group C2/c (No. 15)
Inequivalent atoms, fractional coordinates:
La  0.0577  0.1197  0.0018  3 Ag 3.17-3.51, 3 La 3.33-3.42
La  0.1132  0.3465  0.3056  2 Ag 3.19-3.52, 1 La 3.35, 2 Pr 3.50-3.53
La  0.2307  0.3788  0.8266  3 Ag 3.29-3.39, 1 La 3.42, 1 Pr 3.63
Pr  0.0000  0.3925  0.7500  10 La 3.50-3.86
Ag  0.1644  0.1314  0.5998  8 La 3.17-3.52



The structure with the greatest stability is *a*.



*a*
LaPr6Ag2 | GGA-PBE | relaxed

Cell lengths 13.0351, 3.8164, 12.2982 Å; angles 90.00, 108.25, 90.00 degrees
Last column: nearest neighbours and their distance in Å.
Space group C2/m (No. 12)
Inequivalent atoms, fractional coordinates:
La  0.0000  0.0000  0.0000  4 Ag 3.27
Pr  0.0245  0.0000  0.3339  2 Ag 3.24, 1 Pr 3.58
Pr  0.1844  0.5000  0.8761  2 Ag 3.26, 5 Pr 3.54-3.65
Pr  0.1869  0.5000  0.5890  2 Ag 3.36, 8 Pr 3.54-3.72
Ag  0.1495  0.5000  0.2039  6 Pr 3.24-3.36, 2 La 3.27



*b*
LaPr6Ag2 | GGA-PBE | relaxed

Cell lengths 18.0225, 11.3507, 5.6684 Å; angles 90.00, 95.03, 90.00 degrees
Last column: nearest neighbours and their distance in Å.
Space group C2/c (No. 15)
Inequivalent atoms, fractional coordinates:
La  0.0000  0.1920  0.2500  6 Pr 3.34-3.59, 2 Ag 3.63
Pr  0.0764  0.4019  0.6062  3 Ag 3.15-3.32, 2 Pr 3.32-3.38, 1 La 3.34
Pr  0.1074  0.1055  0.7863  6 Pr 3.43-3.71, 2 La 3.54-3.59, 1 Ag 3.60
Pr  0.2360  0.1181  0.3172  4 Ag 3.15-3.44, 2 Pr 3.38-3.43
Ag  0.1652  0.3589  0.1374  7 Pr 3.15-3.44



The structure with the greatest stability is *a*.